Entry 1:
The following is a PBE calculation of crystalline MgNi2Te at its relaxed geometry, from Alexandria.

Lattice parameters (Å, degrees): 3.491 3.491 5.307 90.00 90.00 90.00
Positions (direct):
Mg  0.500  0.500  0.794
Ni  0.000  0.000  0.985
Ni  0.500  0.500  0.269
Te  0.000  0.000  0.452

* DOS(E_F): 1.49 states/eV/f.u.
* formation energy without anion corrections: -0.162 eV/f.u.
* DFT total energy: -4.12 eV per atom
* E above lowest polymorph: 75 meV/atom

---

Entry 2:
The following is a PBE calculation of crystalline ZnOs3 at its relaxed geometry, from Alexandria.

Lattice parameters (Å, degrees): 4.348 5.501 5.501 120.00 90.00 90.00
Positions (direct):
Zn  0.250  0.667  0.333
Zn  0.750  0.333  0.667
Os  0.750  0.829  0.171
Os  0.750  0.342  0.171
Os  0.750  0.829  0.658
Os  0.250  0.171  0.829
Os  0.250  0.658  0.829
Os  0.250  0.171  0.342

* DOS(E_F): 2.60 states/eV/f.u.
* energy of formation from the pure elements: 402 meV per atom
* DFT total energy: -8.34 eV per atom

---

Entry 3:
The following is a PBE calculation of crystalline Ac6AsPd2I3 at its relaxed geometry, from Alexandria.

Lattice parameters (Å, degrees): 7.879 7.879 8.716 98.68 98.68 119.91
Positions (direct):
Ac  0.933  0.591  0.804
Ac  0.722  0.722  0.194
Ac  0.067  0.409  0.196
Ac  0.591  0.933  0.804
Ac  0.278  0.278  0.806
Ac  0.409  0.067  0.196
As  0.000  0.000  0.000
Pd  0.333  0.667  0.000
Pd  0.667  0.333  0.000
I  0.161  0.839  0.500
I  0.839  0.161  0.500
I  0.500  0.500  0.500

* DOS(E_F): 10.32 states/eV/f.u.
* formation energy without anion corrections: -12.340 eV/f.u.
* DFT total energy: -4.72 eV per atom

---

Entry 4:
The following is a PBE calculation of crystalline LaPr2Nd5Sm at its relaxed geometry, from Alexandria.

Lattice parameters (Å, degrees): 8.969 8.969 10.234 115.99 115.99 90.00
Positions (direct):
La  0.250  0.250  0.500
La  0.750  0.750  0.500
Pr  0.119  0.381  0.000
Pr  0.619  0.119  0.000
Pr  0.381  0.881  0.000
Pr  0.881  0.619  0.000
Nd  0.931  0.431  0.276
Nd  0.655  0.155  0.724
Nd  0.069  0.569  0.724
Nd  0.155  0.069  0.724
Nd  0.569  0.655  0.724
Nd  0.845  0.931  0.276
Nd  0.431  0.345  0.276
Nd  0.345  0.845  0.276
Nd  0.500  0.500  0.000
Nd  0.000  0.000  0.000
Sm  0.250  0.750  0.500
Sm  0.750  0.250  0.500

* DOS(E_F): 13.43 states/eV/f.u.
* energy of formation from the pure elements: 245 meV per atom
* DFT total energy: -4.54 eV per atom

---

Entry 5:
The following is a PBE calculation of crystalline Li2ErBiO4 at its relaxed geometry, from Alexandria.

Lattice parameters (Å, degrees): 6.739 6.739 6.561 116.66 116.66 97.60
Positions (direct):
Li  0.500  0.000  0.000
Li  0.500  0.000  0.500
Li  0.000  0.000  0.500
Li  0.500  0.500  0.000
Er  0.000  0.500  0.000
Er  0.000  0.500  0.500
Bi  0.500  0.500  0.500
Bi  0.000  0.000  0.000
O  0.229  0.755  0.974
O  0.745  0.271  0.526
O  0.255  0.729  0.474
O  0.771  0.245  0.026
O  0.759  0.708  0.998
O  0.792  0.741  0.502
O  0.208  0.259  0.498
O  0.241  0.292  0.002

* DOS(E_F): 0.00 states/eV/f.u.
* formation energy without anion corrections: -16.797 eV/f.u.
* DFT total energy: -6.11 eV per atom

---

Entry 6:
The following is a PBE calculation of crystalline RbAgSbAu2 at its relaxed geometry, from Alexandria.

Lattice parameters (Å, degrees): 5.427 5.427 5.414 90.00 90.00 90.00
Positions (direct):
Sb  0.000  0.000  0.000
Au  0.000  0.500  0.000
Au  0.500  0.000  0.000
Rb  0.500  0.500  0.500
Ag  0.000  0.000  0.500

* DOS(E_F): 1.52 states/eV/f.u.
* formation energy without anion corrections: -0.395 eV/f.u.
* DFT total energy: -2.98 eV per atom

---

Entry 7:
The following is a PBE calculation of crystalline K2H4I at its relaxed geometry, from Alexandria.

Lattice parameters (Å, degrees): 3.980 3.980 11.028 79.60 79.60 90.00
Positions (direct):
I  0.000  0.000  0.000
H  0.814  0.814  0.372
H  0.186  0.186  0.628
H  0.000  0.500  0.000
H  0.500  0.000  0.000
K  0.684  0.684  0.632
K  0.316  0.316  0.368

* DOS(E_F): 3.68 states/eV/f.u.
* DFT total energy: -2.29 eV per atom
* E above lowest polymorph: 0 meV/atom

---

Entry 8:
The following is a PBE calculation of crystalline Pm2Sm4Th5 at its relaxed geometry, from Alexandria.

Lattice parameters (Å, degrees): 3.481 8.909 11.843 85.86 90.00 90.00
Positions (direct):
Pm  0.000  0.944  0.636
Pm  0.000  0.056  0.364
Sm  0.500  0.304  0.555
Sm  0.500  0.841  0.906
Sm  0.500  0.696  0.445
Sm  0.500  0.159  0.094
Th  0.000  0.423  0.284
Th  0.000  0.790  0.178
Th  0.000  0.500  0.000
Th  0.000  0.210  0.822
Th  0.000  0.577  0.716

* DOS(E_F): 18.30 states/eV/f.u.
* energy of formation from the pure elements: 148 meV per atom
* DFT total energy: -5.80 eV per atom

---

Question: The lowest DOS(E_F) belongs to which entry?
Answer: Li2ErBiO4